# YBrCl2

YBrCl2 at its PBEsol-relaxed geometry (meta-GGA SCAN, Alexandria via LeMat-Bulk).

DOS(E_F): 0.000 states/eV/cell
relative energy among the computed polymorphs: 582 meV/atom
final energy: -70.34 eV per formula unit
calculated volume: 20.96 Å³ per atom
formation energy from raw total energies: -1.77 eV/atom

a b c (Å): 4.5246 5.1971 4.5246
angles (deg): 115.80 90.00 115.80
With the nearest neighbours (Å) after each atom.
Positions (direct):
Y 0.5000 0.0000 0.5000  8 Cl 3.05, 4 Br 3.20
Br 0.0000 0.0000 0.0000  8 Cl 3.05, 4 Y 3.20
Cl 0.7500 0.5000 0.2500  4 Br 3.05, 4 Y 3.05, 4 Cl 3.20
Cl 0.2500 0.5000 0.7500  4 Y 3.05, 4 Br 3.05, 4 Cl 3.20